No. 1
{
  "formula": "CaPd2S2",
  "functional": "GGA-PBE",
  "state": "optimized geometry",
  "lattice": [[-3.2830, 2.7463, 2.0646], [-2.5786, -0.0823, -3.9909], [-4.9744, -2.1578, 0.4293]],
  "species": ["S", "Pd", "S", "Ca", "Pd"],
  "fractional_positions": [[0.7500, 0.2500, 0.5000], [0.3323, 0.3323, 0.3354], [0.2500, 0.7500, 0.5000], [0.0000, 0.0000, 0.0000], [0.6677, 0.6677, 0.6646]],
  "mass_density_g_cm3": 5.5,
  "magmom_total_mub_per_cell": 0.00,
  "formation_energy_uncorrected_ev_per_atom": -0.718
}

***

No. 2
{
  "formula": "LiTaTl",
  "functional": "GGA-PBE",
  "state": "optimized geometry",
  "lattice": [[-1.3113, -2.1496, 1.6835], [1.8316, -0.7730, -2.2852], [5.9611, 0.0835, 4.7495]],
  "species": ["Tl", "Ta", "Li"],
  "fractional_positions": [[0.3333, 0.6667, 0.6760], [0.6667, 0.3333, 0.3267], [0.0000, 0.0000, 0.9973]],
  "mass_density_g_cm3": 10.8,
  "formation_enthalpy_0k_mev_per_atom": 410.0,
  "magmom_total_mub_per_cell": 0.00
}